--- w ---
Below is ZrBe2Cu after structural relaxation, with properties calculated at the PBE level.

Properties
For the density of states at the Fermi level, the calculation gives 0.3204 states/eV per atom.

Unit cell a=2.6713 b=3.0896 c=6.1867 alpha=90.00 beta=90.00 gamma=90.00
Last column: nearest neighbours and their distance in Å.
Element x y z (fractional)
Cu 0.5000 0.5000 0.2500  8 Be 2.36
Be 0.0000 0.0000 0.4418  4 Cu 2.36, 1 Be 2.37
Be 0.0000 0.0000 0.0582  4 Cu 2.36, 1 Be 2.37
Zr 0.5000 0.5000 0.7500  2 Zr 2.67, 8 Be 2.79


--- x ---
Below is ZrBe2Cu after structural relaxation, with properties calculated at the PBE level.

Properties
For the density of states at the Fermi level, the calculation gives 0.5683 states/eV per atom.

Unit cell a=3.7044 b=3.7045 c=4.8942 alpha=67.74 beta=67.74 gamma=60.10
Last column: nearest neighbours and their distance in Å.
Element x y z (fractional)
Cu 0.7500 0.7500 0.7500  6 Be 2.20
Be 0.0452 0.0452 0.8650  3 Cu 2.20, 3 Be 2.36-2.37
Be 0.4548 0.4548 0.6350  3 Cu 2.20, 3 Be 2.36-2.37
Zr 0.2500 0.2500 0.2500  8 Be 2.71-2.73


It is w that is the least stable of them.


--- w ---
Below is Dy3Be after structural relaxation, with properties calculated at the PBE level.

Properties
For the density of states at the Fermi level, the calculation gives 1.0859 states/eV per atom.

Unit cell a=3.5945 b=5.1428 c=6.3882 alpha=113.74 beta=106.34 gamma=90.00
Last column: nearest neighbours and their distance in Å.
Element x y z (fractional)
Be 0.0000 0.9166 0.0000  8 Dy 2.91-3.14
Dy 0.2947 0.7113 0.5893  2 Be 2.91
Dy 0.5000 0.4167 0.0000  4 Be 3.14, 4 Dy 3.44
Dy 0.7053 0.1220 0.4107  2 Be 2.91


--- x ---
Below is Dy3Be after structural relaxation, with properties calculated at the PBE level.

Properties
For the density of states at the Fermi level, the calculation gives 1.1323 states/eV per atom.

Unit cell a=3.5779 b=3.4408 c=9.0574 alpha=90.00 beta=90.00 gamma=90.00
Last column: nearest neighbours and their distance in Å.
Element x y z (fractional)
Dy 0.5000 0.0000 0.7454  2 Be 2.86
Dy 0.5000 0.5000 0.1321  4 Be 2.79
Dy 0.0000 0.5000 0.4648  10 Dy 3.44-3.58
Be 0.0000 0.0000 0.9911  6 Dy 2.79-2.86


It is x that is the least stable of them.


--- w ---
Below is Dy3Be2Ge4 after structural relaxation, with properties calculated at the PBE level.

Properties
For the density of states at the Fermi level, the calculation gives 0.3693 states/eV per atom.

Unit cell a=4.0046 b=5.7627 c=8.2293 alpha=107.79 beta=90.00 gamma=110.33
Last column: nearest neighbours and their distance in Å.
Element x y z (fractional)
Be 0.3086 0.6172 0.6460  4 Ge 2.30-2.51
Be 0.6914 0.3828 0.3540  4 Ge 2.30-2.51
Dy 0.6200 0.2401 0.6885  4 Be 2.96-3.27, 8 Ge 2.97-3.29
Dy 0.3800 0.7599 0.3115  4 Be 2.96-3.27, 8 Ge 2.97-3.29
Dy 0.0000 0.0000 0.0000  6 Ge 2.96-3.06
Ge 0.1014 0.2027 0.3936  3 Be 2.30-2.51
Ge 0.2872 0.5744 0.9263  1 Be 2.39, 2 Ge 2.60
Ge 0.8986 0.7973 0.6064  3 Be 2.30-2.51
Ge 0.7128 0.4256 0.0737  1 Be 2.39, 2 Ge 2.60


--- x ---
Below is Dy3Be2Ge4 after structural relaxation, with properties calculated at the PBE level.

Properties
For the density of states at the Fermi level, the calculation gives 0.3303 states/eV per atom.

Unit cell a=3.9781 b=5.7104 c=7.9993 alpha=99.36 beta=90.00 gamma=110.38
Last column: nearest neighbours and their distance in Å.
Element x y z (fractional)
Ge 0.2884 0.5769 0.9317  1 Be 2.20
Ge 0.9356 0.8713 0.6188  2 Be 2.22
Ge 0.0644 0.1287 0.3812  2 Be 2.22
Ge 0.7116 0.4231 0.0683  1 Be 2.20
Dy 0.6633 0.3267 0.6665  4 Be 3.00-3.13, 8 Ge 3.00-3.17
Dy 0.3367 0.6733 0.3335  4 Be 3.00-3.13, 8 Ge 3.00-3.17
Dy 0.0000 0.0000 0.0000  8 Ge 2.99-3.23, 4 Be 3.08
Be 0.3920 0.7839 0.7174  3 Ge 2.20-2.22
Be 0.6080 0.2161 0.2826  3 Ge 2.20-2.22


It is w that is the least stable of them.


--- w ---
Below is Dy2BeGe3 after structural relaxation, with properties calculated at the PBE level.

Properties
For the density of states at the Fermi level, the calculation gives 0.3593 states/eV per atom.

Unit cell a=4.0303 b=4.0660 c=7.0602 alpha=90.00 beta=90.00 gamma=90.00
Last column: nearest neighbours and their distance in Å.
Element x y z (fractional)
Ge 0.5000 0.0000 0.1922  2 Be 2.24, 1 Ge 2.49
Ge 0.5000 0.0000 0.8402  3 Ge 2.47-2.49
Ge 0.5000 0.5000 0.6404  1 Be 2.23, 2 Ge 2.47
Dy 0.0000 0.0000 0.5003  8 Ge 2.97-3.13, 4 Be 3.12
Dy 0.0000 0.5000 0.0026  2 Be 3.04, 10 Ge 3.08-3.26
Be 0.5000 0.5000 0.3244  3 Ge 2.23-2.24


--- x ---
Below is Dy2BeGe3 after structural relaxation, with properties calculated at the PBE level.

Properties
For the density of states at the Fermi level, the calculation gives 0.2816 states/eV per atom.

Unit cell a=5.7157 b=5.7157 c=8.0926 alpha=110.39 beta=110.39 gamma=90.76
Last column: nearest neighbours and their distance in Å.
Element x y z (fractional)
Dy 0.2429 0.2429 0.0000  10 Ge 3.05-3.18, 2 Be 3.12
Dy 0.2500 0.7500 0.5000  8 Ge 3.04, 4 Be 3.09
Dy 0.7571 0.7571 0.0000  10 Ge 3.05-3.18, 2 Be 3.12
Dy 0.7500 0.2500 0.5000  8 Ge 3.04, 4 Be 3.09
Ge 0.1754 0.1754 0.3508  1 Be 2.22
Ge 0.1814 0.6432 0.8245  1 Be 2.18
Ge 0.3568 0.8186 0.1755  1 Be 2.18
Ge 0.6432 0.1814 0.8245  1 Be 2.18
Ge 0.8246 0.8246 0.6492  1 Be 2.22
Ge 0.8186 0.3568 0.1755  1 Be 2.18
Be 0.6669 0.6669 0.3338  3 Ge 2.18-2.22
Be 0.3331 0.3331 0.6662  3 Ge 2.18-2.22


It is w that is the least stable of them.


--- w ---
Below is DyBe2H6 after structural relaxation, with properties calculated at the PBE level.

Properties
For the density of states at the Fermi level, the calculation gives 0.3950 states/eV per atom.

Unit cell a=4.7855 b=4.7854 c=4.7854 alpha=60.00 beta=60.00 gamma=60.00
Last column: nearest neighbours and their distance in Å.
Element x y z (fractional)
H 0.6998 0.3002 0.6998  4 H 1.91, 1 Dy 2.03
H 0.3002 0.6998 0.3002  4 H 1.91, 1 Dy 2.03
H 0.3002 0.3002 0.6998  4 H 1.91, 1 Dy 2.03
H 0.6998 0.3002 0.3002  4 H 1.91, 1 Dy 2.03
H 0.6998 0.6998 0.3002  4 H 1.91, 1 Dy 2.03
H 0.3002 0.6998 0.6998  4 H 1.91, 1 Dy 2.03
Be 0.7500 0.7500 0.7500  12 H 2.42
Be 0.2500 0.2500 0.2500  12 H 2.42
Dy 0.0000 0.0000 0.0000  6 H 2.03


--- x ---
Below is DyBe2H6 after structural relaxation, with properties calculated at the PBE level.

Properties
For the density of states at the Fermi level, the calculation gives 0.1198 states/eV per atom.

Unit cell a=3.2733 b=4.3419 c=5.7057 alpha=80.71 beta=73.33 gamma=67.86
Last column: nearest neighbours and their distance in Å.
Element x y z (fractional)
H 0.0348 0.7969 0.1334  2 Be 1.46-1.56
H 0.9652 0.2031 0.8666  2 Be 1.46-1.56
H 0.3005 0.8354 0.5636  1 Be 1.56
H 0.2980 0.2485 0.1554  2 Be 1.68
H 0.6995 0.1646 0.4364  1 Be 1.56
H 0.7020 0.7515 0.8446  2 Be 1.68
Be 0.1548 0.8416 0.8488  3 H 1.46-1.56
Be 0.8452 0.1584 0.1512  3 H 1.46-1.56
Dy 0.0000 0.5000 0.5000  8 H 2.16-2.27


It is w that is the least stable of them.


--- w ---
Below is Dy2BeIn after structural relaxation, with properties calculated at the PBE level.

Properties
For the density of states at the Fermi level, the calculation gives 0.9042 states/eV per atom.

Unit cell a=5.1144 b=5.1144 c=5.1144 alpha=60.00 beta=60.00 gamma=60.00
Last column: nearest neighbours and their distance in Å.
Element x y z (fractional)
Dy 0.7500 0.7500 0.7500  4 In 3.13, 4 Be 3.13
Dy 0.2500 0.2500 0.2500  4 In 3.13, 4 Be 3.13
Be 0.5000 0.5000 0.5000  8 Dy 3.13
In 0.0000 0.0000 0.0000  8 Dy 3.13


--- x ---
Below is Dy2BeIn after structural relaxation, with properties calculated at the PBE level.

Properties
For the density of states at the Fermi level, the calculation gives 0.4076 states/eV per atom.

Unit cell a=3.5173 b=3.5173 c=7.4473 alpha=90.00 beta=90.00 gamma=90.00
Last column: nearest neighbours and their distance in Å.
Element x y z (fractional)
Dy 0.0000 0.0000 0.2184  4 Be 2.97, 1 Dy 3.25, 4 In 3.25
Dy 0.0000 0.0000 0.7816  4 Be 2.97, 1 Dy 3.25, 4 In 3.25
In 0.5000 0.5000 0.5000  8 Dy 3.25, 4 In 3.52
Be 0.5000 0.5000 0.0000  8 Dy 2.97


It is w that is the least stable of them.